ScCo2W (GGA-PBE, optimized geometry); energy relative to the elements = -0.068 eV per atom; magnetization = 0.000 μB/atom; E_tot = -0.31023 Ha/atom
1.0
-1.356 -4.043 -0.731
1.682 -0.159 -2.240
3.817 -1.661 2.108
Co Sc W
2 1 1
direct
0.000 0.155 0.939
0.500 0.081 0.314
0.000 0.539 0.412
0.500 0.725 0.836